Record 1
This record from Alexandria via LeMat-Bulk describes a geometry-optimized YGa2Pt9 structure. The functional is PBE.

Computed properties:
- VASP energy: -74.35 eV for the cell shown
- M_tot: 0.000 μB/atom

Lattice parameters (Å, degrees): 4.029 4.029 11.910 90.00 90.00 90.00
Space group P4/mmm (No. 123)
Unique sites:
Y  0.000  0.000  0.000 x1
Ga  0.000  0.000  0.340 x2
Pt  0.000  0.500  0.179 x4
Pt  0.000  0.500  0.500 x2
Pt  0.500  0.500  0.000 x1
Pt  0.500  0.500  0.339 x2

Record 2
This record from Alexandria via LeMat-Bulk describes a geometry-optimized TaHgBr3 structure. The functional is PBE.

Computed properties:
- Uncorrected formation energy: -0.229 eV/atom
- VASP energy: -18.32 eV for the cell shown
- E above lowest polymorph: 0.0 meV/atom
- M_tot: 0.000 μB/atom

Lattice parameters (Å, degrees): 5.206 5.206 5.206 90.00 90.00 90.00
Space group Pm-3m (No. 221)
Unique sites:
Ta  0.000  0.000  0.000 x1
Hg  0.500  0.500  0.500 x1
Br  0.000  0.000  0.500 x3

Record 3
This record from Alexandria via LeMat-Bulk describes a geometry-optimized RbAg4Pd structure. The functional is PBE.

Computed properties:
- VASP energy: -65.54 eV for the cell shown
- M_tot: 0.000 μB/atom

Lattice parameters (Å, degrees): 8.055 8.055 8.055 90.00 90.00 90.00
Space group F-43m (No. 216)
Unique sites:
Rb  0.000  0.000  0.000 x4
Ag  0.124  0.124  0.376 x16
Pd  0.250  0.250  0.750 x4

Record 4
This record from Alexandria via LeMat-Bulk describes a geometry-optimized HfMg2Cr structure. The functional is PBE.

Computed properties:
- VASP energy: -84.57 eV for the cell shown
- E above lowest polymorph: 0.0 meV/atom
- M_tot: 0.839 μB/atom

Lattice parameters (Å, degrees): 6.790 6.790 6.790 90.00 90.00 90.00
Space group Fm-3m (No. 225)
Unique sites:
Hf  0.000  0.000  0.000 x4
Mg  0.250  0.250  0.250 x8
Cr  0.000  0.000  0.500 x4

Record 5
This record from Alexandria via LeMat-Bulk describes a geometry-optimized LaTbSe2O structure. The functional is PBE.

Computed properties:
- Uncorrected formation energy: -2.463 eV/atom
- VASP energy: -67.60 eV for the cell shown
- M_tot: 0.000 μB/atom

Lattice parameters (Å, degrees): 4.100 4.100 14.669 90.00 90.00 90.00
Space group P4/nmm (No. 129, origin choice 2)
Unique sites:
La  0.250  0.250  0.084 x2
Tb  0.250  0.250  0.623 x2
Se  0.250  0.250  0.410 x2
Se  0.250  0.250  0.802 x2
O  0.250  0.750  0.000 x2

Record 6
This record from Alexandria via LeMat-Bulk describes a geometry-optimized Zn2TeP structure. The functional is PBE.

Computed properties:
- Uncorrected formation energy: 0.335 eV/atom
- VASP energy: -19.52 eV for the cell shown
- E above lowest polymorph: 506.4 meV/atom
- M_tot: 0.000 μB/atom

Lattice parameters (Å, degrees): 3.736 4.589 9.659 90.00 90.00 90.00
Space group Cmm2 (No. 35)
Unique sites:
Zn  0.000  0.000  0.000 x2
Zn  0.000  0.500  0.200 x2
Te  0.000  0.500  0.723 x2
P  0.000  0.000  0.372 x2

> Which of these has the lowest VASP energy?

HfMg2Cr

> What is the formula in the third record?

RbAg4Pd

> Which formula does entry 5 have?

LaTbSe2O

> Among the records above, which one has the highest M_tot?

HfMg2Cr